The following is a PBE+U calculation of a relaxed structure of Co2NiO4, from Alexandria via LeMat-Bulk.

Results
- Space group: Pnma, No. 62
- E: -0.2026 Ha/atom
- Total moment: 4.00 μB/f.u.

Cell lengths 9.038, 2.854, 10.025 Å; angles 90.00, 90.00, 90.00 degrees
Element x y z (fractional)
Co  0.069  0.250  0.122
Co  0.081  0.250  0.598
Co  0.419  0.750  0.098
Co  0.431  0.750  0.622
Co  0.569  0.250  0.378
Co  0.581  0.250  0.902
Co  0.919  0.750  0.402
Co  0.931  0.750  0.878
Ni  0.223  0.750  0.833
Ni  0.277  0.250  0.333
Ni  0.723  0.750  0.667
Ni  0.777  0.250  0.167
O  0.040  0.750  0.715
O  0.097  0.250  0.933
O  0.114  0.750  0.472
O  0.216  0.750  0.181
O  0.284  0.250  0.681
O  0.386  0.250  0.972
O  0.403  0.750  0.433
O  0.460  0.250  0.215
O  0.540  0.750  0.785
O  0.597  0.250  0.567
O  0.614  0.750  0.028
O  0.716  0.750  0.319
O  0.784  0.250  0.819
O  0.886  0.250  0.528
O  0.903  0.750  0.067
O  0.960  0.250  0.285